A relaxed Re2AgPb crystal. Source: the Alexandria database, functional GGA-PBEsol.

```
Re2AgPb
1.0
-2.545 0.504 -1.496
2.131 -1.264 -4.053
-1.220 -4.518 3.551
Ag Pb Re
1 1 2
direct
0.515 0.515 0.030
0.723 0.223 0.446
0.973 0.973 0.947
0.288 0.788 0.577
```

Summary:
D(E_F) (states/eV per atom): 0.736
Raw total energy (eV per atom): -7.552